Nb3Si | the Alexandria database | PBE-GGA | relaxed; density of states at the Fermi level = 25.12 states/eV/cell; space-group type = P4_2/n (86); formation energy (no corrections) = -0.460 eV per atom
1.0
-7.6759 6.7762 0.7863
-1.4457 -2.7727 9.7815
3.3868 3.6581 1.5375
Nb Si
24 8
direct
0.0163 0.8540 0.2733
0.3540 0.4837 0.7733
0.6460 0.5163 0.7733
0.9837 0.1460 0.2733
0.4837 0.6460 0.2267
0.1460 0.0163 0.7267
0.8540 0.9837 0.7267
0.5163 0.3540 0.2267
0.2865 0.8103 0.9861
0.3103 0.2135 0.4861
0.6897 0.7865 0.4861
0.7135 0.1897 0.9861
0.2135 0.6897 0.5139
0.1897 0.2865 0.0139
0.8103 0.7135 0.0139
0.7865 0.3103 0.5139
0.9027 0.4152 0.0334
0.9152 0.5973 0.5334
0.0848 0.4027 0.5334
0.0973 0.5848 0.0334
0.5973 0.0848 0.4666
0.5848 0.9027 0.9666
0.4152 0.0973 0.9666
0.4027 0.9152 0.4666
0.5281 0.2944 0.7205
0.7944 0.9719 0.2205
0.2056 0.0281 0.2205
0.4719 0.7056 0.7205
0.9719 0.2056 0.7795
0.7056 0.5281 0.2795
0.2944 0.4719 0.2795
0.0281 0.7944 0.7795

---

NbSi | the Alexandria database | PBE-GGA | relaxed; density of states at the Fermi level = 15.42 states/eV/cell; space-group type = I-43m (217); formation energy (no corrections) = 0.866 eV per atom
1.0
-1.9864 6.8151 3.6017
-5.6368 1.2527 -5.4791
-5.2577 -3.9178 4.5134
Nb Si
8 8
direct
0.3681 0.3681 0.3681
0.3681 0.6319 0.6319
0.6319 0.3681 0.6319
0.6319 0.6319 0.3681
0.8681 0.8681 0.8681
0.8681 0.1319 0.1319
0.1319 0.8681 0.1319
0.1319 0.1319 0.8681
0.1808 0.1808 0.1808
0.1808 0.8192 0.8192
0.8192 0.1808 0.8192
0.8192 0.8192 0.1808
0.6808 0.6808 0.6808
0.6808 0.3192 0.3192
0.3192 0.6808 0.3192
0.3192 0.3192 0.6808

---

NbSi | the Alexandria database | PBE-GGA | relaxed; density of states at the Fermi level = 7.11 states/eV/cell; space-group type = Cmmm (65); formation energy (no corrections) = -0.292 eV per atom
1.0
14.9083 0.0000 0.0000
0.0000 4.5195 0.0000
0.0000 0.0000 2.8990
Nb Si
6 6
direct
0.8339 0.0000 0.0000
0.1661 0.0000 0.0000
0.3339 0.5000 0.0000
0.6661 0.5000 0.0000
0.5000 0.0000 0.5000
0.0000 0.5000 0.5000
0.6846 0.0000 0.5000
0.3154 0.0000 0.5000
0.1846 0.5000 0.5000
0.8154 0.5000 0.5000
0.0000 0.0000 0.0000
0.5000 0.5000 0.0000

---

Nb5Si | the Alexandria database | PBE-GGA | relaxed; density of states at the Fermi level = 5.71 states/eV/cell; space-group type = Cmmm (65); formation energy (no corrections) = -0.198 eV per atom
1.0
-0.9151 -3.3276 -0.4453
3.4672 -0.5982 -2.6553
2.0792 -1.4690 6.7047
Nb Si
5 1
direct
0.0000 0.6597 0.3195
0.0000 0.3403 0.6805
0.5000 0.5000 0.0000
0.5000 0.1634 0.3269
0.5000 0.8366 0.6731
0.0000 0.0000 0.0000

---

Nb2Si | the Alexandria database | PBE-GGA | relaxed; density of states at the Fermi level = 3.88 states/eV/cell; space-group type = P4_2/mnm (136); formation energy (no corrections) = 0.317 eV per atom
1.0
-0.5600 -1.6045 3.2484
-2.8816 -4.2011 -2.5720
4.8480 -2.9460 -0.6195
Nb Si
4 2
direct
0.5000 0.2979 0.7021
0.0000 0.7979 0.7979
0.0000 0.2021 0.2021
0.5000 0.7021 0.2979
0.0000 0.5000 0.5000
0.5000 0.0000 0.0000

---

NbSi | the Alexandria database | PBE-GGA | relaxed; density of states at the Fermi level = 7.30 states/eV/cell; space-group type = Pbcm (57); formation energy (no corrections) = -0.443 eV per atom
1.0
5.0193 0.0000 0.0000
0.0000 5.0114 0.0000
0.0000 0.0000 9.7488
Nb Si
8 8
direct
0.7500 0.1467 0.4914
0.2500 0.8533 0.5086
0.2500 0.1467 0.0086
0.7500 0.8533 0.9914
0.7500 0.3982 0.1750
0.2500 0.6018 0.8250
0.2500 0.3982 0.3250
0.7500 0.6018 0.6750
0.7500 0.6398 0.4139
0.2500 0.3602 0.5861
0.2500 0.6398 0.0861
0.7500 0.3602 0.9139
0.5000 0.9408 0.2500
0.0000 0.0592 0.7500
0.5000 0.0592 0.7500
0.0000 0.9408 0.2500

---

Nb3Si23 | the Alexandria database | PBE-GGA | relaxed; density of states at the Fermi level = 38.60 states/eV/cell; space-group type = Pm-3n (223); formation energy (no corrections) = 0.509 eV per atom
1.0
-6.5976 6.6881 3.7140
-6.1275 -1.6837 -7.8531
-4.5801 -7.3816 5.1563
Nb Si
6 46
direct
0.2500 0.5000 0.0000
0.7500 0.5000 0.0000
0.5000 0.0000 0.2500
0.5000 0.0000 0.7500
0.0000 0.2500 0.5000
0.0000 0.7500 0.5000
0.2500 0.0000 0.5000
0.7500 0.0000 0.5000
0.0000 0.5000 0.2500
0.0000 0.5000 0.7500
0.5000 0.2500 0.0000
0.5000 0.7500 0.0000
0.6841 0.6841 0.6841
0.6841 0.3159 0.3159
0.3159 0.6841 0.3159
0.3159 0.3159 0.6841
0.8159 0.8159 0.8159
0.8159 0.1841 0.1841
0.1841 0.8159 0.1841
0.1841 0.1841 0.8159
0.3159 0.3159 0.3159
0.3159 0.6841 0.6841
0.6841 0.3159 0.6841
0.6841 0.6841 0.3159
0.1841 0.1841 0.1841
0.1841 0.8159 0.8159
0.8159 0.1841 0.8159
0.8159 0.8159 0.1841
0.0000 0.6887 0.8841
0.0000 0.3113 0.1159
0.0000 0.6887 0.1159
0.0000 0.3113 0.8841
0.6887 0.8841 0.0000
0.6887 0.1159 0.0000
0.3113 0.8841 0.0000
0.3113 0.1159 0.0000
0.8841 0.0000 0.6887
0.8841 0.0000 0.3113
0.1159 0.0000 0.3113
0.1159 0.0000 0.6887
0.8113 0.5000 0.6159
0.8113 0.5000 0.3841
0.1887 0.5000 0.3841
0.1887 0.5000 0.6159
0.5000 0.6159 0.8113
0.5000 0.3841 0.1887
0.5000 0.6159 0.1887
0.5000 0.3841 0.8113
0.6159 0.8113 0.5000
0.6159 0.1887 0.5000
0.3841 0.8113 0.5000
0.3841 0.1887 0.5000

---

Nb3Si | the Alexandria database | PBE-GGA | relaxed; density of states at the Fermi level = 3.61 states/eV/cell; space-group type = Immm (71); formation energy (no corrections) = -0.236 eV per atom
1.0
-0.0547 -3.0667 -1.5829
3.6874 1.0661 -2.1930
0.6516 -0.7472 5.1881
Nb Si
3 1
direct
0.2447 0.6612 0.4894
0.5000 0.4168 0.0000
0.7553 0.1718 0.5106
0.0000 0.9169 0.0000

---

Nb3Si | the Alexandria database | PBE-GGA | relaxed; density of states at the Fermi level = 13.30 states/eV/cell; space-group type = Pm-3n (223); formation energy (no corrections) = -0.365 eV per atom
1.0
5.1305 0.0000 0.0000
0.0000 5.1305 0.0000
0.0000 0.0000 5.1305
Nb Si
6 2
direct
0.0000 0.5000 0.7500
0.5000 0.2500 0.0000
0.7500 0.0000 0.5000
0.0000 0.5000 0.2500
0.5000 0.7500 0.0000
0.2500 0.0000 0.5000
0.5000 0.5000 0.5000
0.0000 0.0000 0.0000

---

SmNb4Si4 | the Alexandria database | PBE-GGA | relaxed; density of states at the Fermi level = 12.41 states/eV/cell; space-group type = P4_2/n (86); formation energy (no corrections) = -0.397 eV per atom
1.0
-1.4771 -4.1886 2.3259
7.9290 -1.2799 2.7306
-1.6875 4.4829 7.0014
Sm Nb Si
2 8 8
direct
0.0000 0.0000 0.0000
0.5000 0.5000 0.5000
0.3780 0.3657 0.8731
0.8780 0.6269 0.8657
0.3780 0.6343 0.1269
0.1220 0.1343 0.6269
0.6220 0.8731 0.6343
0.1220 0.8657 0.3731
0.8780 0.3731 0.1343
0.6220 0.1269 0.3657
0.6123 0.8230 0.3336
0.6123 0.1770 0.6664
0.1123 0.8336 0.6770
0.8877 0.3230 0.8336
0.8877 0.6770 0.1664
0.3877 0.3336 0.1770
0.3877 0.6664 0.8230
0.1123 0.1664 0.3230

---

SmNbSi | the Alexandria database | PBE-GGA | relaxed; density of states at the Fermi level = 5.73 states/eV/cell; space-group type = I4/mmm (139); formation energy (no corrections) = -0.573 eV per atom
1.0
-0.0837 3.6550 1.6591
0.8795 -1.6025 3.5745
7.4442 -0.1493 -4.1532
Si Sm Nb
2 2 2
direct
0.1186 0.1186 0.2372
0.8814 0.8814 0.7628
0.3241 0.3241 0.6481
0.6759 0.6759 0.3519
0.5000 0.0000 0.0000
0.0000 0.5000 0.0000

---

Sm2Nb3Si4 | the Alexandria database | PBE-GGA | relaxed; density of states at the Fermi level = 9.52 states/eV/cell; space-group type = P2_1/c (14); formation energy (no corrections) = -0.781 eV per atom
1.0
-2.9090 6.3121 -0.6630
-3.1066 -4.4515 -4.6103
-4.8563 -1.7199 4.9330
Sm Nb Si
4 6 8
direct
0.5653 0.1873 0.3310
0.9347 0.8127 0.8310
0.4347 0.8127 0.6690
0.0653 0.1873 0.1690
0.0000 0.5000 0.5000
0.5000 0.5000 0.0000
0.7482 0.2580 0.8248
0.7518 0.7420 0.3248
0.2518 0.7420 0.1752
0.2482 0.2580 0.6752
0.8714 0.0858 0.5394
0.6286 0.9142 0.0394
0.1286 0.9142 0.4606
0.3714 0.0858 0.9606
0.8723 0.4962 0.1252
0.6277 0.5038 0.6252
0.1277 0.5038 0.8748
0.3723 0.4962 0.3748